## Fe2Cl3F (GGA+U)

Data for a geometry-optimized Fe2Cl3F structure.

Geometry as extended XYZ:
```
12
Lattice="-2.449 0.851 -2.491 -1.878 -7.469 -3.300 -8.159 0.566 5.620" Properties=species:S:1:pos:R:3 pbc="T T T"
Fe -10.078 -1.314 1.674
Fe -2.408 -4.737 -1.846
Fe -7.002 0.167 1.751
Fe -5.484 -6.218 -1.923
Cl -6.887 0.218 4.250
Cl -5.600 -6.270 -4.422
Cl -10.512 -3.727 1.276
Cl -1.974 -2.324 -1.448
Cl -7.766 -5.115 -1.898
Cl -4.720 -0.936 1.726
F -7.977 -1.655 2.087
F -4.510 -4.397 -2.259
```

## Properties
- space-group type = C2/m
- total magnetization (μB/f.u.) = 8.01
- DFT total energy (Ry per atom) = -0.3339